DFT (GGA+U) results for AlTc2NiO after structural relaxation.

Its density of states at the Fermi level is 1.105 states/eV/atom. The density comes out at 6.1 Mg/m³. As for the calculated total energy: -5.420 eV per atom.

The space group is P4/mmm (No. 123) and the conventional cell measures 4.913, 4.913 and 3.376 Å, with angles of 90.00, 90.00 and 90.00 degrees. The distinct sites, in fractional coordinates, are Al at (0.000, 0.000, 0.000), Tc at (0.000, 0.500, 0.000), Ni at (0.500, 0.500, 0.500) and O at (0.000, 0.000, 0.500).